SCAN ZrRe2Rh, PBEsol geometry; energy relative to the elements = -0.07 eV per atom; offset from the most stable computed form = 0.129 eV per atom; space-group type = Cm (8)
1.0
4.593 -1.410 0.000
4.593 1.410 0.000
-0.799 0.000 4.869
Zr Re Rh
1 2 1
direct
0.000 0.000 0.000
0.511 0.511 0.499
0.766 0.766 0.323
0.247 0.247 0.785

***

SCAN TlP2AuO, PBEsol geometry; formation energy (no corrections) = 672.3 meV per atom; space-group type = P4/mmm (123)
1.0
4.905 0.000 0.000
0.000 4.905 0.000
0.000 0.000 3.934
Tl P Au O
1 2 1 1
direct
0.000 0.000 0.000
0.000 0.500 0.500
0.500 0.000 0.500
0.500 0.500 0.500
0.500 0.500 0.000

***

SCAN YCr2Co, PBEsol geometry; energy relative to the elements = 0.58 eV per atom; offset from the most stable computed form = 0.000 eV per atom; space-group type = Immm (71)
1.0
-1.475 2.113 4.606
1.475 -2.113 4.606
1.475 2.113 -4.606
Y Cr Co
1 2 1
direct
0.000 0.000 0.000
0.269 0.769 0.500
0.731 0.231 0.500
0.500 0.500 0.000

***

SCAN Sc2AlIrN, PBEsol geometry; formation energy (no corrections) = -1265.5 meV per atom; space-group type = P4/mmm (123)
1.0
4.358 0.000 0.000
0.000 4.358 0.000
0.000 0.000 3.773
Sc Al Ir N
2 1 1 1
direct
0.000 0.500 0.000
0.500 0.000 0.000
0.000 0.000 0.500
0.500 0.500 0.500
0.000 0.000 0.000

***

SCAN TbSmRh2, PBEsol geometry; energy relative to the elements = -0.89 eV per atom; space-group type = Fm-3m (225)
1.0
0.000 3.414 3.414
3.414 0.000 3.414
3.414 3.414 0.000
Tb Sm Rh
1 1 2
direct
0.000 0.000 0.000
0.500 0.500 0.500
0.250 0.250 0.250
0.750 0.750 0.750

***

SCAN PtRhIN2, PBEsol geometry; formation energy (no corrections) = 1300.5 meV per atom; offset from the most stable computed form = 0.088 eV per atom; space-group type = P4/mmm (123)
1.0
3.703 0.000 0.000
0.000 3.703 0.000
0.000 0.000 7.754
Pt Rh I N
1 1 1 2
direct
0.000 0.000 0.000
0.500 0.500 0.500
0.000 0.000 0.500
0.000 0.500 0.000
0.500 0.000 0.000

***

SCAN Nd3Co13B2, PBEsol geometry; energy relative to the elements = -0.07 eV per atom; space-group type = P6/mmm (191)
1.0
4.976 0.000 0.000
-2.488 4.310 0.000
0.000 0.000 10.623
Nd Co B
3 13 2
direct
0.000 0.000 0.000
0.000 0.000 0.323
0.000 0.000 0.677
0.000 0.500 0.136
0.000 0.500 0.500
0.000 0.500 0.864
0.333 0.667 0.319
0.333 0.667 0.681
0.500 0.000 0.136
0.500 0.000 0.500
0.500 0.000 0.864
0.500 0.500 0.136
0.500 0.500 0.500
0.500 0.500 0.864
0.667 0.333 0.319
0.667 0.333 0.681
0.333 0.667 0.000
0.667 0.333 0.000

***

SCAN MnAlP2, PBEsol geometry; energy relative to the elements = -0.04 eV per atom; space-group type = C2/m (12)
1.0
3.686 -1.508 0.000
3.686 1.508 0.000
-0.584 0.000 4.605
Mn Al P
1 1 2
direct
0.000 0.000 0.000
0.500 0.500 0.500
0.272 0.272 0.802
0.728 0.728 0.198

***

Number 1: spin magnetization 0.00 μB per cell. Number 2: spin magnetization 0.01 μB per cell. Number 3: spin magnetization 2.47 μB per cell. Number 4: spin magnetization 0.00 μB per cell. Number 5: spin magnetization 0.00 μB per cell. Number 6: spin magnetization 0.00 μB per cell. Number 7: spin magnetization 16.21 μB per cell. Number 8: spin magnetization 0.01 μB per cell.